Version i
## InS2NCl (PBEsol)

Data for a relaxed InS2NCl crystal.

The space group is P4/mmm (No. 123) and the conventional cell measures 5.145, 5.145 and 4.220 Å, with angles of 90.00, 90.00 and 90.00 degrees. Symmetry generates all atoms from In at (0.000, 0.000, 0.000), S at (0.000, 0.500, 0.000), N at (0.000, 0.000, 0.500) and Cl at (0.500, 0.500, 0.500).

The value obtained for the total magnetic moment is 5.05 μB per formula unit.

---

Version ii
## InS2NCl (PBEsol)

Data for a relaxed InS2NCl crystal.

The space group is P4/mmm (No. 123) and the conventional cell measures 4.868, 4.868 and 3.517 Å, with angles of 90.00, 90.00 and 90.00 degrees. Symmetry generates all atoms from In at (0.000, 0.000, 0.000), S at (0.000, 0.500, 0.500), N at (0.500, 0.500, 0.000) and Cl at (0.500, 0.500, 0.500).

The value obtained for the total magnetic moment is 0.26 μB per formula unit.

---

Energetically preferred structure: version i | next structure: +0.061 eV/atom